# Be9Nb2V, relaxed, DFT PBE-GGA
data_Be9Nb2V
_cell_length_a 4.5187
_cell_length_b 4.5187
_cell_length_c 13.8975
_cell_angle_alpha 90.00
_cell_angle_beta 90.00
_cell_angle_gamma 120.00
_space_group_name_H-M_alt 'P 63/m m c'
_space_group_IT_number 194
_space_group_name_Hall '-P 6c 2c'
loop_
_atom_site_label
_atom_site_fract_x
_atom_site_fract_y
_atom_site_fract_z
Be1 0.0000 0.0000 0.0000
Be2 0.0000 0.0000 0.2500
Be3 0.1683 0.3367 0.1294
Be4 0.3333 0.6667 0.2500
Nb1 0.3333 0.6667 0.5404
V1 0.3333 0.6667 0.7500
# Energy relative to the lowest polymorph listed for this composition in eV/atom: 0.005
# V in A^3/atom: 10.24
# Total energy in eV/cell: -129.781